No. 1
# TiFeTeS2

A relaxed structure of TiFeTeS2 (PBE, Alexandria via LeMat-Bulk).

```
TiFeTeS2
1.0
4.640 0.000 0.000
0.000 4.640 0.000
0.000 0.000 4.636
Ti Fe Te S
1 1 1 2
Direct
0.000 0.000 0.000
0.000 0.000 0.500
0.500 0.500 0.500
0.000 0.500 0.000
0.500 0.000 0.000
```

Computed properties:
Formation energy from raw total energies = 0.4331 eV per atom
ρ = 4.92 Mg/m³
M_tot = 0.02 μB per formula unit

---

No. 2
# Tl2FeTeS

A relaxed structure of Tl2FeTeS (PBE, Alexandria via LeMat-Bulk).

```
Tl2FeTeS
1.0
6.276 0.000 0.000
0.000 6.276 0.000
0.000 0.000 4.807
Tl Fe Te S
2 1 1 1
Direct
0.000 0.500 0.000
0.500 0.000 0.000
0.000 0.000 0.500
0.000 0.000 0.000
0.500 0.500 0.500
```

Computed properties:
Formation energy from raw total energies = 0.6772 eV per atom
ρ = 5.47 Mg/m³
M_tot = 3.76 μB per formula unit

---

No. 3
# ThFeS

A relaxed structure of ThFeS (PBE, Alexandria via LeMat-Bulk).

```
ThFeS
1.0
3.338 -1.928 0.000
3.338 1.928 0.000
-2.247 0.000 9.814
Th Fe S
2 2 2
Direct
0.221 0.221 0.160
0.779 0.779 0.840
0.039 0.039 0.622
0.961 0.961 0.378
0.383 0.383 0.653
0.617 0.617 0.347
```

Computed properties:
Formation energy from raw total energies = -0.4706 eV per atom
ρ = 8.41 Mg/m³
M_tot = 2.17 μB per formula unit

---

No. 4
# Th3FeS2

A relaxed structure of Th3FeS2 (PBE, Alexandria via LeMat-Bulk).

```
Th3FeS2
1.0
8.212 0.000 0.000
0.000 5.680 0.000
0.000 0.000 12.062
Th Fe S
12 4 8
Direct
0.107 0.250 0.075
0.133 0.250 0.419
0.140 0.250 0.742
0.360 0.750 0.242
0.367 0.750 0.919
0.393 0.750 0.575
0.607 0.250 0.425
0.633 0.250 0.081
0.640 0.250 0.758
0.860 0.750 0.258
0.867 0.750 0.581
0.893 0.750 0.925
0.127 0.750 0.098
0.373 0.250 0.598
0.627 0.750 0.402
0.873 0.250 0.902
0.121 0.750 0.420
0.129 0.750 0.744
0.371 0.250 0.244
0.379 0.250 0.920
0.621 0.750 0.080
0.629 0.750 0.756
0.871 0.250 0.256
0.879 0.250 0.580
```

Computed properties:
Formation energy from raw total energies = -1.2094 eV per atom
ρ = 9.63 Mg/m³
M_tot = 0.00 μB per formula unit

---

No. 5
# Th6FeS5

A relaxed structure of Th6FeS5 (PBE, Alexandria via LeMat-Bulk).

```
Th6FeS5
1.0
3.535 -6.082 0.000
3.535 6.082 0.000
-2.385 0.000 6.619
Th Fe S
6 1 5
Direct
0.081 0.399 0.239
0.242 0.242 0.753
0.399 0.081 0.239
0.601 0.919 0.761
0.758 0.758 0.247
0.919 0.601 0.761
0.000 0.000 0.000
0.173 0.827 0.500
0.334 0.666 0.000
0.500 0.500 0.500
0.666 0.334 0.000
0.827 0.173 0.500
```

Computed properties:
Formation energy from raw total energies = -1.5261 eV per atom
ρ = 9.38 Mg/m³
M_tot = 0.00 μB per formula unit

---

No. 6
# Th2FeS

A relaxed structure of Th2FeS (PBE, Alexandria via LeMat-Bulk).

```
Th2FeS
1.0
1.764 1.018 9.051
-1.764 1.018 9.051
0.000 -2.037 9.051
Th Fe S
2 1 1
Direct
0.091 0.091 0.091
0.909 0.909 0.909
0.000 0.000 0.000
0.500 0.500 0.500
```

Computed properties:
Formation energy from raw total energies = -0.1871 eV per atom
ρ = 9.40 Mg/m³
M_tot = 1.44 μB per formula unit

---

No. 7
# Ti3FeS6

A relaxed structure of Ti3FeS6 (PBE, Alexandria via LeMat-Bulk).

```
Ti3FeS6
1.0
2.911 1.681 5.565
-2.911 1.681 5.565
0.000 -3.362 5.565
Ti Fe S
3 1 6
Direct
0.000 0.000 0.000
0.330 0.330 0.330
0.670 0.670 0.670
0.500 0.500 0.500
0.097 0.419 0.749
0.251 0.903 0.581
0.419 0.749 0.097
0.581 0.251 0.903
0.749 0.097 0.419
0.903 0.581 0.251
```

Computed properties:
Formation energy from raw total energies = -1.1889 eV per atom
ρ = 3.98 Mg/m³
M_tot = 0.00 μB per formula unit

---

No. 8
# Ti3FeS6

A relaxed structure of Ti3FeS6 (PBE, Alexandria via LeMat-Bulk).

```
Ti3FeS6
1.0
5.938 0.000 0.000
-2.969 5.142 0.000
0.000 0.000 11.584
Ti Fe S
6 2 12
Direct
0.333 0.667 0.001
0.333 0.667 0.499
0.333 0.667 0.750
0.667 0.333 0.250
0.667 0.333 0.501
0.667 0.333 0.999
0.000 0.000 0.000
0.000 0.000 0.500
0.002 0.334 0.624
0.002 0.668 0.876
0.332 0.334 0.876
0.332 0.998 0.624
0.334 0.002 0.124
0.334 0.332 0.376
0.666 0.668 0.624
0.666 0.998 0.876
0.668 0.002 0.376
0.668 0.666 0.124
0.998 0.332 0.124
0.998 0.666 0.376
```

Computed properties:
Formation energy from raw total energies = -1.1262 eV per atom
ρ = 3.68 Mg/m³
M_tot = 3.04 μB per formula unit

---

Looking at volume for the records above, in order, we have 20.0; 37.9; 21.0; 23.4; 23.7; 24.4; 16.3; 17.7 Å³ per atom.